This record from Alexandria describes an optimized crystal structure of Ta2TeRu. The functional is PBE-GGA.

For the magnetization, the calculation gives 0.000 μB per formula unit. As for the formation energy without anion corrections: 10 kJ/mol of atoms. As for the density of states at the Fermi level: 2.795 states/eV/f.u. As for the total energy: -8.931 eV per atom.

The structure belongs to space group Cm (No. 8); the cell edges are 9.5563, 3.2625 and 4.9571 Å and the angles 90.00°, 108.65° and 90.00°. The distinct sites, in fractional coordinates, are Ta at (0.0000, 0.0000, 0.0000), Ta at (0.2178, 0.0000, 0.6579), Te at (0.4653, 0.0000, 0.4768) and Ru at (0.2182, 0.5000, 0.1385).

***

This record from Alexandria describes an optimized crystal structure of TaTe2Ru. The functional is PBE-GGA.

For the magnetization, the calculation gives 0.000 μB per formula unit. As for the formation energy without anion corrections: -4 kJ/mol of atoms. The polymorph energy (0 for the lowest one) is 0.115 eV/atom. As for the density of states at the Fermi level: 3.035 states/eV/f.u. As for the total energy: -6.898 eV per atom.

The structure belongs to space group Cm (No. 8); the cell edges are 8.5463, 3.6210 and 7.1811 Å and the angles 90.00°, 103.07° and 90.00°. The distinct sites, in fractional coordinates, are Ta at (0.0000, 0.0000, 0.0000), Te at (0.2477, 0.0000, 0.7871), Te at (0.4821, 0.0000, 0.3049) and Ru at (0.2144, 0.5000, 0.0851).

***

This record from Alexandria describes an optimized crystal structure of TaTe2Ru. The functional is PBE-GGA.

For the magnetization, the calculation gives 0.000 μB per formula unit. As for the formation energy without anion corrections: 55 kJ/mol of atoms. The polymorph energy (0 for the lowest one) is 0.733 eV/atom. As for the density of states at the Fermi level: 5.348 states/eV/f.u. As for the total energy: -6.281 eV per atom.

The structure belongs to space group I-42d (No. 122); the cell edges are 6.1763, 6.1763 and 11.6955 Å and the angles 90.00°, 90.00° and 90.00°. The distinct sites, in fractional coordinates, are Ta at (0.0000, 0.0000, 0.0000), Te at (0.2307, 0.2500, 0.6250) and Ru at (0.0000, 0.0000, 0.5000).

***

This record from Alexandria describes an optimized crystal structure of TaTe2Ru. The functional is PBE-GGA.

For the magnetization, the calculation gives 0.000 μB per formula unit. As for the formation energy without anion corrections: 48 kJ/mol of atoms. The polymorph energy (0 for the lowest one) is 0.654 eV/atom. As for the density of states at the Fermi level: 2.671 states/eV/f.u. As for the total energy: -6.359 eV per atom.

The structure belongs to space group I-4m2 (No. 119); the cell edges are 4.0449, 4.0449 and 9.6428 Å and the angles 90.00°, 90.00° and 90.00°. The distinct sites, in fractional coordinates, are Ta at (0.0000, 0.0000, 0.0000), Te at (0.0000, 0.0000, 0.5000), Te at (0.0000, 0.5000, 0.7500) and Ru at (0.0000, 0.5000, 0.2500).

***

This record from Alexandria describes an optimized crystal structure of TaTe2Ru. The functional is PBE-GGA.

For the magnetization, the calculation gives 0.000 μB per formula unit. As for the formation energy without anion corrections: -15 kJ/mol of atoms. The polymorph energy (0 for the lowest one) is 0.000 eV/atom. As for the density of states at the Fermi level: 3.004 states/eV/f.u. As for the total energy: -7.013 eV per atom.

The structure belongs to space group Pm (No. 6); the cell edges are 3.9203, 3.9198 and 6.9084 Å and the angles 90.00°, 90.19° and 90.00°. The distinct sites, in fractional coordinates, are Ta at (0.0000, 0.0000, 0.0000), Te at (0.0097, 0.5000, 0.7187), Te at (0.4997, 0.0000, 0.2813) and Ru at (0.5083, 0.5000, 0.0001).

***

This record from Alexandria describes an optimized crystal structure of Ta2TeRu. The functional is PBE-GGA.

For the magnetization, the calculation gives 0.000 μB per formula unit. As for the formation energy without anion corrections: 1 kJ/mol of atoms. As for the density of states at the Fermi level: 3.254 states/eV/f.u. As for the total energy: -9.021 eV per atom.

The structure belongs to space group P4mm (No. 99); the cell edges are 3.3085, 3.3085 and 6.8142 Å and the angles 90.00°, 90.00° and 90.00°. The distinct sites, in fractional coordinates, are Ta at (0.0000, 0.0000, 0.0000), Ta at (0.5000, 0.5000, 0.2671), Te at (0.0000, 0.0000, 0.5111) and Ru at (0.5000, 0.5000, 0.8133).

***

This record from Alexandria describes an optimized crystal structure of Ta2TeRu. The functional is PBE-GGA.

For the magnetization, the calculation gives 0.000 μB per formula unit. As for the formation energy without anion corrections: -1 kJ/mol of atoms. As for the density of states at the Fermi level: 2.059 states/eV/f.u. As for the total energy: -9.036 eV per atom.

The structure belongs to space group Amm2 (No. 38); the cell edges are 3.2678, 3.3026 and 14.4432 Å and the angles 90.00°, 90.00° and 90.00°. The distinct sites, in fractional coordinates, are Ta at (0.0000, 0.0000, 0.0000), Ta at (0.5000, 0.0000, 0.3726), Te at (0.0000, 0.0000, 0.7550) and Ru at (0.5000, 0.0000, 0.5865).

***

This record from Alexandria describes an optimized crystal structure of Ta2TeRu. The functional is PBE-GGA.

For the magnetization, the calculation gives 0.000 μB per formula unit. As for the formation energy without anion corrections: 31 kJ/mol of atoms. As for the density of states at the Fermi level: 2.477 states/eV/f.u. As for the total energy: -8.709 eV per atom.

The structure belongs to space group F-43m (No. 216); the cell edges are 6.5743, 6.5743 and 6.5743 Å and the angles 90.00°, 90.00° and 90.00°. The distinct sites, in fractional coordinates, are Ta at (0.0000, 0.0000, 0.0000), Ta at (0.2500, 0.2500, 0.2500), Te at (0.0000, 0.0000, 0.5000) and Ru at (0.2500, 0.2500, 0.7500).